This record from Alexandria via LeMat-Bulk describes a relaxed La2Pm3Pr2 crystal. The functional is PBE-GGA.

Unit cell a=6.3946 b=6.4093 c=12.8156 alpha=99.62 beta=99.58 gamma=99.47
With the nearest neighbours (Å) after each atom.
Fractional positions:
La  0.0704  0.1423  0.1419  2 La 3.68-3.70, 7 Pm 3.69-3.71, 3 Pr 3.70-3.71
La  0.0722  0.1425  0.6431  5 Pr 3.69-3.71, 5 Pm 3.69-3.71, 2 La 3.70-3.71
La  0.9278  0.8575  0.3569  5 Pr 3.69-3.71, 5 Pm 3.69-3.71, 2 La 3.70-3.71
La  0.9296  0.8577  0.8581  2 La 3.68-3.70, 7 Pm 3.69-3.71, 3 Pr 3.70-3.71
Pm  0.2162  0.4298  0.9292  5 Pm 3.67-3.70, 3 Pr 3.68-3.71, 4 La 3.69-3.71
Pm  0.3583  0.7147  0.7148  5 Pr 3.69-3.71, 4 La 3.69-3.71, 3 Pm 3.69-3.70
Pm  0.5000  0.0000  0.0000  4 La 3.69, 2 Pr 3.69, 6 Pm 3.69
Pm  0.5000  0.0000  0.5000  4 La 3.69-3.70, 6 Pr 3.69-3.71, 2 Pm 3.70
Pm  0.6417  0.2853  0.2852  5 Pr 3.69-3.71, 4 La 3.69-3.71, 3 Pm 3.69-3.70
Pm  0.7838  0.5702  0.0708  5 Pm 3.67-3.70, 3 Pr 3.68-3.71, 4 La 3.69-3.71
Pr  0.2156  0.4292  0.4287  3 Pr 3.68-3.71, 5 Pm 3.69-3.71, 4 La 3.70-3.71
Pr  0.3580  0.7143  0.2132  7 Pm 3.68-3.71, 4 La 3.69-3.71, 1 Pr 3.71
Pr  0.6420  0.2857  0.7868  7 Pm 3.68-3.71, 4 La 3.69-3.71, 1 Pr 3.71
Pr  0.7844  0.5708  0.5713  3 Pr 3.68-3.71, 5 Pm 3.69-3.71, 4 La 3.70-3.71

The density of states at the Fermi level comes out at 1.779 states/eV/atom. For the total moment, the calculation gives 0.0 μB per formula unit. The value obtained for the total energy is -67.1 eV per cell. The volume comes out at 500.5 Å³ per cell.